[1]
Material: LuTeH
Method: DFT, PBE
State: relaxed

POSCAR file:
```
LuTeH
1.0
3.870 0.000 0.000
0.000 8.207 0.000
0.000 0.000 7.303
H Lu Te
4 4 4
Cartesian
1.936 6.574 4.229
1.934 2.471 6.725
0.001 5.736 3.074
3.868 1.633 0.578
1.936 6.219 2.216
1.934 2.115 1.435
0.001 6.092 5.087
3.869 1.988 5.868
1.935 3.689 4.168
1.935 7.792 6.787
3.870 0.415 3.135
0.000 4.518 0.516
```

**Energy**: -56.1 eV/cell

[2]
Material: Dy3Mg2In4
Method: DFT, PBE
State: relaxed

POSCAR file:
```
Dy3Mg2In4
1.0
4.951 0.000 0.000
-2.475 5.169 -2.117
0.000 -0.988 9.274
Dy Mg In
3 2 4
Cartesian
2.475 1.028 5.502
0.000 0.000 0.000
0.000 3.152 1.655
2.475 0.918 2.154
0.000 3.263 5.003
2.475 2.166 -0.393
0.000 2.014 7.550
2.475 3.951 3.803
0.000 0.230 3.353
```

**N(E_F)**: 6.0 states/eV/cell
**Energy of formation**: -0.382 eV/atom

Calculated density: 8694; 7282 (kg/m3)